Compound: MgSi4
Source: the Alexandria database
Functional: PBE
Structure: relaxed

Unit cell a=4.8445 b=4.8445 c=4.8445 alpha=90.00 beta=90.00 gamma=90.00
Closest atoms and distances in Å follow each position.
Space group Pm-3m (No. 221)
One atom of each set of equivalent atoms:
Mg  0.0000  0.0000  0.0000  6 Si 2.42
Si  0.0000  0.0000  0.5000  2 Mg 2.42
Si  0.5000  0.5000  0.5000  12 Si 3.43

Summary:
**E_form (uncorrected)**: 1.370 eV per atom
**Uncorrected energy**: -3.287 eV/atom

***

Compound: Mg3Si2
Source: the Alexandria database
Functional: PBE
Structure: relaxed

Unit cell a=5.2668 b=5.4431 c=13.4631 alpha=90.00 beta=98.82 gamma=90.00
Closest atoms and distances in Å follow each position.
Space group P2_1/c (No. 14)
One atom of each set of equivalent atoms:
Mg  0.1399  0.1478  0.2410  5 Si 2.74-2.93
Mg  0.2401  0.1545  0.9910  5 Si 2.74-2.98
Mg  0.3310  0.6119  0.1247  4 Si 2.76-2.95, 2 Mg 3.07-3.09
Si  0.1716  0.6376  0.9201  1 Si 2.43
Si  0.4079  0.5729  0.3318  1 Si 2.43

Summary:
**E_form (uncorrected)**: -0.029 eV per atom
**Uncorrected energy**: -3.155 eV/atom

***

Compound: MgSi2
Source: the Alexandria database
Functional: PBE
Structure: relaxed

Unit cell a=5.2947 b=3.7052 c=12.1908 alpha=90.00 beta=101.55 gamma=90.00
Closest atoms and distances in Å follow each position.
Space group Pm (No. 6)
One atom of each set of equivalent atoms:
Mg  0.0000  0.0000  0.0000  5 Si 2.71-2.93
Mg  0.0816  0.0000  0.6512  8 Si 2.85-2.98
Mg  0.4550  0.5000  0.9020  7 Si 2.79-3.00
Mg  0.7286  0.5000  0.4155  8 Si 2.77-3.06
Si  0.1630  0.5000  0.2948  4 Si 2.35-2.43
Si  0.2698  0.5000  0.4983  3 Si 2.38-2.43
Si  0.3299  0.5000  0.1286  3 Si 2.36-2.37
Si  0.5432  0.0000  0.5594  3 Si 2.38
Si  0.5843  0.0000  0.0984  3 Si 2.36-2.39
Si  0.6389  0.0000  0.7589  3 Si 2.38-2.41
Si  0.8834  0.0000  0.2730  3 Si 2.35-2.39
Si  0.9284  0.5000  0.8101  2 Si 2.41

Summary:
**E_form (uncorrected)**: 0.067 eV per atom
**Uncorrected energy**: -4.080 eV/atom

***

Compound: Mg5Si9
Source: the Alexandria database
Functional: PBE
Structure: relaxed

Unit cell a=5.6882 b=6.6029 c=14.4307 alpha=91.30 beta=90.85 gamma=93.87
Closest atoms and distances in Å follow each position.
Space group P1 (No. 1)
One atom of each set of equivalent atoms:
Mg  0.0000  0.0000  0.0000  6 Si 2.74-3.04, 1 Mg 3.05
Mg  0.0182  0.5166  0.5238  3 Si 2.74-2.87, 1 Mg 2.96
Mg  0.0983  0.5604  0.9108  5 Si 2.66-2.91
Mg  0.2125  0.2311  0.3547  5 Si 2.76-2.93
Mg  0.4361  0.5508  0.2012  4 Si 2.77-3.01, 1 Mg 2.98
Mg  0.5432  0.6071  0.4569  5 Si 2.70-2.90, 1 Mg 2.96
Mg  0.7585  0.8289  0.6598  6 Si 2.68-2.96, 1 Mg 2.91
Mg  0.8002  0.0592  0.4908  5 Si 2.76-2.87, 1 Mg 2.91
Mg  0.8500  0.1217  0.1942  5 Si 2.68-2.85
Mg  0.9288  0.6672  0.2650  5 Si 2.73-3.02, 1 Mg 2.98
Si  0.0165  0.1979  0.6557  3 Si 2.38-2.45
Si  0.0893  0.3773  0.0816  2 Si 2.39-2.43
Si  0.1267  0.0371  0.8003  4 Si 2.41-2.45
Si  0.1810  0.8450  0.4244  2 Si 2.37-2.58
Si  0.2479  0.7485  0.7122  4 Si 2.41-2.45
Si  0.2686  0.9423  0.2049  2 Si 2.38-2.39
Si  0.3612  0.9222  0.5713  3 Si 2.37-2.43
Si  0.3858  0.2895  0.5822  3 Si 2.39-2.42
Si  0.4651  0.3624  0.0105  4 Si 2.39-2.45
Si  0.4681  0.2481  0.8516  4 Si 2.38-2.41
Si  0.4937  0.0323  0.0728  3 Si 2.36-2.39
Si  0.5041  0.4675  0.7228  4 Si 2.38-2.44
Si  0.5218  0.7845  0.9542  3 Si 2.36-2.49
Si  0.5520  0.9335  0.3285  3 Si 2.39-2.63
Si  0.7105  0.9713  0.8331  3 Si 2.38-2.43
Si  0.7132  0.3157  0.3476  1 Si 2.63, 6 Mg 2.68-2.93
Si  0.7797  0.6111  0.0640  3 Si 2.43-2.49
Si  0.9235  0.4959  0.7401  3 Si 2.38-2.45, 1 Mg 2.66

Summary:
**E_form (uncorrected)**: 0.140 eV per atom
**Uncorrected energy**: -3.916 eV/atom

***

Compound: MgSi2
Source: the Alexandria database
Functional: PBE
Structure: relaxed

Unit cell a=3.5598 b=5.2197 c=12.8840 alpha=83.56 beta=82.43 gamma=70.22
Closest atoms and distances in Å follow each position.
Space group P1 (No. 1)
One atom of each set of equivalent atoms:
Mg  0.0000  0.0000  0.0000  9 Si 2.79-2.98
Mg  0.0409  0.6947  0.2370  8 Si 2.76-3.04
Mg  0.2320  0.9692  0.5930  7 Si 2.74-3.04
Mg  0.5619  0.4487  0.4457  6 Si 2.77-2.96
Si  0.2168  0.7595  0.8029  4 Si 2.38-2.52
Si  0.2624  0.4247  0.0550  4 Si 2.53-2.57, 1 Mg 2.76
Si  0.2934  0.1051  0.3265  4 Si 2.45-2.61
Si  0.4628  0.4044  0.6696  3 Si 2.37-2.52
Si  0.7491  0.5813  0.9185  5 Si 2.43-2.57
Si  0.7798  0.2621  0.1863  4 Si 2.53-2.61, 2 Mg 2.79-2.82
Si  0.8491  0.8878  0.4346  2 Si 2.45
Si  0.9892  0.2444  0.7798  4 Si 2.37-2.51

Summary:
**E_form (uncorrected)**: 0.124 eV per atom
**Uncorrected energy**: -4.022 eV/atom

***

Compound: Mg5Si9
Source: the Alexandria database
Functional: PBE
Structure: relaxed

Unit cell a=7.5499 b=7.6467 c=10.6949 alpha=107.90 beta=95.22 gamma=110.30
Closest atoms and distances in Å follow each position.
Space group P1 (No. 1)
One atom of each set of equivalent atoms:
Mg  0.0000  0.0000  0.0000  5 Si 2.55-2.85
Mg  0.0213  0.7818  0.7006  5 Si 2.72-2.96
Mg  0.1686  0.1323  0.5620  5 Si 2.71-2.98, 1 Mg 3.03
Mg  0.4749  0.9767  0.4802  4 Si 2.69-2.84
Mg  0.5445  0.5304  0.5797  7 Si 2.81-3.09
Mg  0.5934  0.8519  0.0145  3 Si 2.61-2.75, 1 Mg 2.92
Mg  0.6588  0.9929  0.7794  4 Si 2.72-2.83, 1 Mg 3.04
Mg  0.8116  0.6718  0.1427  3 Si 2.65-2.96, 1 Mg 2.97
Mg  0.8381  0.1004  0.3519  4 Si 2.73-3.01
Mg  0.8761  0.3126  0.6686  6 Si 2.67-2.94
Si  0.0069  0.5222  0.9556  4 Si 2.39-2.48
Si  0.1249  0.6435  0.4041  3 Si 2.35-2.45
Si  0.1298  0.3668  0.2159  4 Si 2.43-2.49
Si  0.1567  0.4871  0.5582  2 Si 2.35-2.38
Si  0.2062  0.1239  0.2972  3 Si 2.48-2.53
Si  0.2312  0.8417  0.1186  4 Si 2.42-2.48
Si  0.2359  0.3925  0.8488  3 Si 2.40-2.48
Si  0.3046  0.9616  0.9334  3 Si 2.41-2.46, 1 Mg 2.55
Si  0.3470  0.6798  0.7807  3 Si 2.38-2.42, 1 Mg 2.62
Si  0.3657  0.4475  0.0773  4 Si 2.37-2.46
Si  0.4924  0.7845  0.2282  2 Si 2.37-2.44, 1 Mg 2.61
Si  0.5114  0.2599  0.7367  1 Si 2.44, 1 Mg 2.72
Si  0.5488  0.2566  0.1043  4 Si 2.37-2.41
Si  0.5712  0.2718  0.3337  3 Si 2.41-2.53
Si  0.7618  0.5968  0.8468  2 Si 2.42-2.44
Si  0.7937  0.6152  0.3744  3 Si 2.38-2.45, 1 Mg 2.65
Si  0.8013  0.8963  0.5537  1 Si 2.38
Si  0.8461  0.2717  0.0431  3 Si 2.37-2.43

Summary:
**E_form (uncorrected)**: 0.130 eV per atom
**Uncorrected energy**: -3.926 eV/atom

***

Compound: Mg5Si9
Source: the Alexandria database
Functional: PBE
Structure: relaxed

Unit cell a=7.7461 b=7.9310 c=10.2133 alpha=84.48 beta=78.15 gamma=61.11
Closest atoms and distances in Å follow each position.
Space group P1 (No. 1)
One atom of each set of equivalent atoms:
Mg  0.0000  0.0000  0.0000  7 Si 2.66-2.92
Mg  0.0135  0.6891  0.4379  5 Si 2.67-2.96
Mg  0.1101  0.3526  0.9292  5 Si 2.73-2.99
Mg  0.1689  0.2405  0.3847  4 Si 2.77-2.92
Mg  0.3499  0.8313  0.5259  5 Si 2.70-3.00
Mg  0.5538  0.1195  0.1128  3 Si 2.61-2.66
Mg  0.5834  0.1069  0.8169  5 Si 2.78-3.02, 1 Mg 2.99
Mg  0.6174  0.0837  0.5027  4 Si 2.65-2.84
Mg  0.7645  0.6758  0.7271  4 Si 2.66-2.94
Mg  0.8182  0.3329  0.2331  6 Si 2.73-2.97
Si  0.1429  0.9673  0.2491  3 Si 2.44-2.48
Si  0.1896  0.7137  0.7910  5 Si 2.40-2.61
Si  0.2338  0.1821  0.6610  3 Si 2.41-2.43
Si  0.2452  0.4843  0.6237  3 Si 2.39-2.44
Si  0.2469  0.4646  0.1808  3 Si 2.39-2.43, 1 Mg 2.65
Si  0.3587  0.9608  0.0331  3 Si 2.42-2.47, 1 Mg 2.66
Si  0.3606  0.9041  0.8039  3 Si 2.41-2.47
Si  0.3895  0.4616  0.9455  3 Si 2.38-2.51
Si  0.3923  0.6303  0.2613  4 Si 2.39-2.44
Si  0.5206  0.4579  0.4539  3 Si 2.39
Si  0.6274  0.6415  0.0648  5 Si 2.42-2.69
Si  0.7383  0.3557  0.9261  3 Si 2.38-2.55
Si  0.7841  0.5049  0.5018  2 Si 2.39-2.42
Si  0.8276  0.9528  0.2618  2 Si 2.44-2.48, 3 Mg 2.61-2.67
Si  0.8743  0.7710  0.9268  3 Si 2.40-2.69, 2 Mg 2.66
Si  0.8848  0.2714  0.6794  4 Si 2.41-2.55
Si  0.9021  0.6555  0.1562  4 Si 2.41-2.54
Si  0.9440  0.9501  0.6366  2 Si 2.43-2.61

Summary:
**E_form (uncorrected)**: 0.139 eV per atom
**Uncorrected energy**: -3.917 eV/atom

***

Compound: Mg6Si5
Source: the Alexandria database
Functional: PBE
Structure: relaxed

Unit cell a=7.0609 b=4.1028 c=14.6506 alpha=90.00 beta=100.14 gamma=90.00
Closest atoms and distances in Å follow each position.
Space group Pm (No. 6)
One atom of each set of equivalent atoms:
Mg  0.0000  0.0000  0.0000  5 Si 2.73-2.95, 1 Mg 2.89
Mg  0.0169  0.5000  0.1841  5 Si 2.68-2.99
Mg  0.1486  0.5000  0.6753  7 Si 2.89-3.08, 4 Mg 3.14-3.20
Mg  0.2184  0.0000  0.3188  4 Si 2.69-2.72
Mg  0.2923  0.0000  0.5347  4 Si 2.66-2.73
Mg  0.3383  0.5000  0.0190  4 Si 2.70-2.85
Mg  0.5389  0.5000  0.2534  7 Si 2.89-2.95, 2 Mg 3.21
Mg  0.6020  0.0000  0.9103  6 Si 2.67-2.88, 1 Mg 2.89
Mg  0.6350  0.0000  0.4241  4 Si 2.66-2.73
Mg  0.6727  0.5000  0.5901  4 Si 2.81-2.87, 2 Mg 3.12
Mg  0.8617  0.0000  0.7395  7 Si 2.69-2.91
Mg  0.9704  0.5000  0.4240  5 Si 2.89-2.95, 2 Mg 3.13
Si  0.0329  0.5000  0.8637  3 Si 2.56-2.85, 1 Mg 2.85
Si  0.2299  0.0000  0.8346  3 Si 2.50-2.56, 2 Mg 2.67-2.72
Si  0.3004  0.0000  0.1459  1 Si 2.49, 2 Mg 2.70-2.73
Si  0.3807  0.5000  0.4267  9 Mg 2.72-2.95
Si  0.4431  0.0000  0.7151  3 Si 2.50-2.55, 1 Mg 2.67
Si  0.6380  0.5000  0.7782  3 Si 2.55-2.85, 3 Mg 2.71-2.81
Si  0.6448  0.0000  0.1278  4 Si 2.44-2.54
Si  0.7258  0.5000  0.0398  2 Si 2.54, 4 Mg 2.68-2.83
Si  0.8315  0.0000  0.2848  1 Si 2.44, 2 Mg 2.66-2.69
Si  0.9311  0.0000  0.5645  9 Mg 2.66-2.95

Summary:
**E_form (uncorrected)**: 0.013 eV per atom
**Uncorrected energy**: -3.322 eV/atom

***

Compound: MgSi23
Source: the Alexandria database
Functional: PBE
Structure: relaxed

Unit cell a=10.2344 b=10.2344 c=10.2344 alpha=90.00 beta=90.00 gamma=90.00
Closest atoms and distances in Å follow each position.
Space group Pm-3n (No. 223)
One atom of each set of equivalent atoms:
Mg  0.0000  0.0000  0.0000  20 Si 3.25-3.37
Si  0.0000  0.1171  0.3076  4 Si 2.36-2.40
Si  0.0000  0.2500  0.5000  4 Si 2.39
Si  0.1831  0.1831  0.1831  4 Si 2.36-2.37

Summary:
**E_form (uncorrected)**: 0.073 eV per atom
**Uncorrected energy**: -5.191 eV/atom

***

Compound: Mg4Si
Source: the Alexandria database
Functional: PBE
Structure: relaxed

Unit cell a=5.0756 b=5.0756 c=5.0756 alpha=90.00 beta=90.00 gamma=90.00
Closest atoms and distances in Å follow each position.
Space group Pm-3m (No. 221)
One atom of each set of equivalent atoms:
Mg  0.0000  0.0000  0.0000  12 Mg 3.59
Mg  0.0000  0.5000  0.5000  2 Si 2.54
Si  0.5000  0.5000  0.5000  6 Mg 2.54

Summary:
**E_form (uncorrected)**: 0.245 eV per atom
**Uncorrected energy**: -2.116 eV/atom

***

Compound: Mg5Si9
Source: the Alexandria database
Functional: PBE
Structure: relaxed

Unit cell a=6.8741 b=7.2500 c=12.6068 alpha=86.11 beta=78.74 gamma=62.69
Closest atoms and distances in Å follow each position.
Space group P1 (No. 1)
One atom of each set of equivalent atoms:
Mg  0.0000  0.0000  0.0000  5 Si 2.70-2.94, 1 Mg 3.01
Mg  0.0027  0.4385  0.7882  7 Si 2.82-3.06
Mg  0.0112  0.7648  0.6100  4 Si 2.70-2.83, 1 Mg 3.00
Mg  0.1091  0.6772  0.1882  7 Si 2.69-2.98
Mg  0.1231  0.9960  0.4208  4 Si 2.71-3.02, 1 Mg 3.00
Mg  0.2750  0.2898  0.5362  5 Si 2.65-2.82
Mg  0.3543  0.2110  0.9556  7 Si 2.73-3.04
Mg  0.4976  0.7915  0.6038  5 Si 2.70-2.96
Mg  0.6709  0.3853  0.4787  4 Si 2.66-2.79
Mg  0.9517  0.2306  0.2007  5 Si 2.73-2.88, 1 Mg 3.01
Si  0.0282  0.6087  0.9977  2 Si 2.34-2.40
Si  0.0560  0.1056  0.6566  2 Si 2.40-2.42, 1 Mg 2.65
Si  0.1055  0.3762  0.3446  3 Si 2.46-2.52, 1 Mg 2.75
Si  0.2562  0.0029  0.8060  3 Si 2.42-2.44
Si  0.2706  0.6639  0.8489  4 Si 2.37-2.44
Si  0.2974  0.5822  0.3816  2 Si 2.41-2.52
Si  0.3688  0.9117  0.1127  3 Si 2.40-2.43
Si  0.4002  0.4687  0.6821  2 Si 2.39-2.41
Si  0.4274  0.1550  0.2087  4 Si 2.41-2.46
Si  0.5312  0.6000  0.2160  4 Si 2.41-2.43
Si  0.6063  0.4579  0.9138  4 Si 2.37-2.51
Si  0.6147  0.3232  0.0910  3 Si 2.38-2.42
Si  0.6515  0.8898  0.7865  3 Si 2.37-2.42
Si  0.6660  0.7498  0.9618  4 Si 2.34-2.47
Si  0.6938  0.2046  0.7649  4 Si 2.40-2.51
Si  0.7011  0.0056  0.4922  1 Si 2.36
Si  0.7277  0.6628  0.3374  3 Si 2.41-2.49
Si  0.7379  0.9891  0.3025  3 Si 2.36-2.42

Summary:
**E_form (uncorrected)**: 0.105 eV per atom
**Uncorrected energy**: -3.951 eV/atom

***

Compound: MgSi2
Source: the Alexandria database
Functional: PBE
Structure: relaxed

Unit cell a=3.7262 b=5.5319 c=11.9273 alpha=96.60 beta=98.70 gamma=109.58
Closest atoms and distances in Å follow each position.
Space group P1 (No. 1)
One atom of each set of equivalent atoms:
Mg  0.0000  0.0000  0.0000  7 Si 2.75-3.04
Mg  0.0182  0.7269  0.3127  6 Si 2.72-3.04
Mg  0.2470  0.6817  0.8052  6 Si 2.75-3.06
Mg  0.6292  0.7039  0.5566  8 Si 2.93-3.10
Si  0.3034  0.1028  0.5045  3 Si 2.37-2.40
Si  0.3238  0.3144  0.3394  3 Si 2.40
Si  0.4061  0.7189  0.0981  3 Si 2.38-2.42
Si  0.5990  0.3160  0.8746  3 Si 2.40-2.42
Si  0.6815  0.1440  0.2212  4 Si 2.40-2.42
Si  0.7540  0.4297  0.0812  4 Si 2.38-2.41
Si  0.9338  0.0852  0.7730  3 Si 2.41-2.43
Si  0.9568  0.3073  0.6087  3 Si 2.37-2.43

Summary:
**E_form (uncorrected)**: 0.072 eV per atom
**Uncorrected energy**: -4.075 eV/atom